The following is a GGA-PBE calculation of a relaxed HfRuBr2 crystal, from Alexandria.

## Properties
Offset from the most stable computed form, kJ/mol of formula units: 95
Raw formation energy, eV/atom: 0.388
Calculated volume, Å³/atom: 17.988

Unit cell a=4.669 b=4.669 c=4.669 alpha=60.00 beta=60.00 gamma=60.00
Positions (direct):
Hf 0.000 0.000 0.000
Ru 0.500 0.500 0.500
Br 0.250 0.250 0.250
Br 0.750 0.750 0.750

The following is a GGA-PBE calculation of a relaxed LuMg2Ga crystal, from Alexandria.

## Properties
Offset from the most stable computed form, kJ/mol of formula units: 152
Calculated volume, Å³/atom: 23.887

Unit cell a=11.044 b=11.044 c=11.044 alpha=16.57 beta=16.57 gamma=16.57
Positions (direct):
Lu 0.000 0.000 0.000
Mg 0.097 0.097 0.097
Mg 0.903 0.903 0.903
Ga 0.500 0.500 0.500

The following is a GGA-PBE calculation of a relaxed LiPm2Lu crystal, from Alexandria.

## Properties
Offset from the most stable computed form, kJ/mol of formula units: 0
Calculated volume, Å³/atom: 30.092

Unit cell a=5.673 b=5.673 c=3.740 alpha=90.00 beta=90.00 gamma=90.00
Positions (direct):
Li 0.000 0.000 0.000
Pm 0.000 0.500 0.500
Pm 0.500 0.000 0.500
Lu 0.500 0.500 0.000

The following is a GGA-PBE calculation of a relaxed CaNiGe crystal, from Alexandria.

## Properties
E_tot, eV for the cell shown: -27.74
Calculated volume, Å³/atom: 19.929

Unit cell a=5.797 b=5.797 c=5.891 alpha=109.77 beta=109.77 gamma=40.36
Positions (direct):
Ca 0.000 0.000 0.000
Ca 0.219 0.219 0.606
Ni 0.709 0.709 0.988
Ni 0.901 0.901 0.408
Ge 0.313 0.313 0.167
Ge 0.512 0.512 0.624

The following is a GGA-PBE calculation of a relaxed Zn12CuAu6 crystal, from Alexandria.

## Properties
E_tot, eV for the cell shown: -40.93
Calculated volume, Å³/atom: 16.577

Unit cell a=6.846 b=6.846 c=6.846 alpha=96.15 beta=96.15 gamma=96.15
Positions (direct):
Zn 0.011 0.012 0.307
Zn 0.012 0.307 0.011
Zn 0.130 0.405 0.406
Zn 0.307 0.011 0.012
Zn 0.405 0.406 0.130
Zn 0.406 0.130 0.405
Zn 0.594 0.870 0.595
Zn 0.595 0.594 0.870
Zn 0.693 0.989 0.988
Zn 0.870 0.595 0.594
Zn 0.988 0.693 0.989
Zn 0.989 0.988 0.693
Cu 0.500 0.500 0.500
Au 0.247 0.717 0.719
Au 0.281 0.753 0.283
Au 0.283 0.281 0.753
Au 0.717 0.719 0.247
Au 0.719 0.247 0.717
Au 0.753 0.283 0.281

The following is a GGA-PBE calculation of a relaxed RbHgAsBr2 crystal, from Alexandria.

## Properties
Offset from the most stable computed form, kJ/mol of formula units: 0
Raw formation energy, eV/atom: -0.392
Calculated volume, Å³/atom: 37.877

Unit cell a=6.021 b=6.021 c=5.223 alpha=90.00 beta=90.00 gamma=90.00
Positions (direct):
Rb 0.000 0.000 0.000
Hg 0.500 0.500 0.500
As 0.500 0.500 0.000
Br 0.000 0.500 0.500
Br 0.500 0.000 0.500

The following is a GGA-PBE calculation of a relaxed Sr2HoScSe4 crystal, from Alexandria.

## Properties
Raw formation energy, eV/atom: -1.817
Calculated volume, Å³/atom: 25.954

Unit cell a=7.171 b=4.152 c=7.376 alpha=90.00 beta=109.01 gamma=90.00
Positions (direct):
Sr 0.000 0.000 0.000
Sr 0.500 0.500 0.000
Ho 0.000 0.500 0.500
Sc 0.500 0.000 0.500
Se 0.248 0.000 0.725
Se 0.265 0.500 0.279
Se 0.735 0.500 0.721
Se 0.752 0.000 0.275

The following is a GGA-PBE calculation of a relaxed NbOsC2 crystal, from Alexandria.

## Properties
Offset from the most stable computed form, kJ/mol of formula units: 175
Calculated volume, Å³/atom: 10.339

Unit cell a=3.882 b=3.882 c=3.882 alpha=60.00 beta=60.00 gamma=60.00
Positions (direct):
Nb 0.000 0.000 0.000
Os 0.500 0.500 0.500
C 0.250 0.250 0.250
C 0.750 0.750 0.750

The following is a GGA-PBE calculation of a relaxed Sm3ThTl crystal, from Alexandria.

## Properties
E_tot, eV for the cell shown: -96.64
Calculated volume, Å³/atom: 31.489

Unit cell a=9.364 b=6.327 c=11.376 alpha=90.00 beta=110.88 gamma=90.00
Positions (direct):
Sm 0.070 0.040 0.269
Sm 0.070 0.460 0.769
Sm 0.261 0.194 0.063
Sm 0.261 0.306 0.563
Sm 0.328 0.649 0.334
Sm 0.328 0.851 0.834
Sm 0.672 0.149 0.166
Sm 0.672 0.351 0.666
Sm 0.739 0.694 0.437
Sm 0.739 0.806 0.937
Sm 0.930 0.540 0.231
Sm 0.930 0.960 0.731
Th 0.496 0.156 0.376
Th 0.496 0.344 0.876
Th 0.504 0.656 0.124
Th 0.504 0.844 0.624
Tl 0.112 0.714 0.033
Tl 0.112 0.786 0.533
Tl 0.888 0.214 0.467
Tl 0.888 0.286 0.967

The following is a GGA-PBE calculation of a relaxed KMnBi3 crystal, from Alexandria.

## Properties
Offset from the most stable computed form, kJ/mol of formula units: 0
Calculated volume, Å³/atom: 30.170

Unit cell a=5.323 b=5.323 c=5.323 alpha=90.00 beta=90.00 gamma=90.00
Positions (direct):
K 0.000 0.000 0.000
Mn 0.500 0.500 0.500
Bi 0.000 0.500 0.500
Bi 0.500 0.000 0.500
Bi 0.500 0.500 0.000

The following is a GGA-PBE calculation of a relaxed Tm4Ge8Os crystal, from Alexandria.

## Properties
E_tot, eV for the cell shown: -72.69
Calculated volume, Å³/atom: 20.233

Unit cell a=4.008 b=4.124 c=15.913 alpha=90.00 beta=90.00 gamma=90.00
Positions (direct):
Tm 0.000 0.000 0.000
Tm 0.000 0.500 0.484
Tm 0.500 0.000 0.789
Tm 0.500 0.500 0.284
Ge 0.000 0.000 0.327
Ge 0.000 0.000 0.619
Ge 0.000 0.500 0.140
Ge 0.000 0.500 0.858
Ge 0.500 0.000 0.144
Ge 0.500 0.000 0.437
Ge 0.500 0.500 0.617
Ge 0.500 0.500 0.964
Os 0.000 0.500 0.706

The following is a GGA-PBE calculation of a relaxed ScPaGaIr crystal, from Alexandria.

## Properties
E_tot, eV for the cell shown: -29.69
Calculated volume, Å³/atom: 20.162

Unit cell a=4.850 b=4.850 c=4.850 alpha=60.00 beta=60.00 gamma=60.00
Positions (direct):
Sc 0.000 0.000 0.000
Pa 0.500 0.500 0.500
Ga 0.250 0.250 0.250
Ir 0.750 0.750 0.750

The following is a GGA-PBE calculation of a relaxed LaMoN3 crystal, from Alexandria.

## Properties
Raw formation energy, eV/atom: -0.576
Calculated volume, Å³/atom: 14.444

Unit cell a=3.848 b=5.566 c=6.774 alpha=90.00 beta=95.31 gamma=90.00
Positions (direct):
La 0.031 0.250 0.245
La 0.969 0.750 0.755
Mo 0.461 0.250 0.802
Mo 0.539 0.750 0.198
N 0.009 0.750 0.116
N 0.456 0.012 0.591
N 0.456 0.488 0.591
N 0.544 0.512 0.409
N 0.544 0.988 0.409
N 0.991 0.250 0.884

The following is a GGA-PBE calculation of a relaxed PmBeNi crystal, from Alexandria.

## Properties
Offset from the most stable computed form, kJ/mol of formula units: 0
Calculated volume, Å³/atom: 17.815

Unit cell a=3.853 b=3.853 c=7.200 alpha=90.00 beta=90.00 gamma=90.00
Positions (direct):
Pm 0.250 0.250 0.185
Pm 0.750 0.750 0.815
Be 0.250 0.250 0.648
Be 0.750 0.750 0.352
Ni 0.250 0.750 0.500
Ni 0.750 0.250 0.500

The following is a GGA-PBE calculation of a relaxed DyCo9B4 crystal, from Alexandria.

## Properties
E_tot, eV for the cell shown: -196.28
Calculated volume, Å³/atom: 10.200

Unit cell a=7.449 b=7.449 c=7.449 alpha=121.43 beta=121.43 gamma=87.54
Positions (direct):
Dy 0.248 0.248 0.000
Dy 0.752 0.752 0.000
Co 0.000 0.500 0.500
Co 0.048 0.830 0.522
Co 0.097 0.805 0.901
Co 0.170 0.691 0.218
Co 0.195 0.097 0.292
Co 0.307 0.407 0.715
Co 0.309 0.527 0.478
Co 0.407 0.693 0.100
Co 0.473 0.952 0.782
Co 0.500 0.000 0.500
Co 0.527 0.048 0.218
Co 0.593 0.307 0.900
Co 0.691 0.473 0.522
Co 0.693 0.593 0.285
Co 0.805 0.903 0.708
Co 0.830 0.309 0.782
Co 0.903 0.195 0.099
Co 0.952 0.170 0.478
B 0.040 0.497 0.807
B 0.232 0.040 0.543
B 0.310 0.768 0.807
B 0.497 0.690 0.457
B 0.503 0.310 0.543
B 0.690 0.232 0.193
B 0.768 0.960 0.457
B 0.960 0.503 0.193

The following is a GGA-PBE calculation of a relaxed Ac4GaSeS2 crystal, from Alexandria.

## Properties
Raw formation energy, eV/atom: -1.572
Calculated volume, Å³/atom: 31.107

Unit cell a=7.701 b=4.393 c=7.788 alpha=90.00 beta=109.20 gamma=90.00
Positions (direct):
Ac 0.242 0.000 0.242
Ac 0.242 0.500 0.748
Ac 0.758 0.000 0.758
Ac 0.758 0.500 0.252
Ga 0.500 0.000 0.000
Se 0.500 0.500 0.500
S 0.000 0.000 0.500
S 0.000 0.500 0.000

The following is a GGA-PBE calculation of a relaxed CsTi2OsW crystal, from Alexandria.

## Properties
Offset from the most stable computed form, kJ/mol of formula units: 0
Calculated volume, Å³/atom: 26.170

Unit cell a=4.838 b=4.838 c=5.589 alpha=90.00 beta=90.00 gamma=90.00
Positions (direct):
Cs 0.000 0.000 0.000
Ti 0.000 0.500 0.500
Ti 0.500 0.000 0.500
Os 0.000 0.000 0.500
W 0.500 0.500 0.000

The following is a GGA-PBE calculation of a relaxed MnFe2H crystal, from Alexandria.

## Properties
Offset from the most stable computed form, kJ/mol of formula units: 207
Calculated volume, Å³/atom: 9.161

Unit cell a=3.728 b=3.728 c=3.728 alpha=60.00 beta=60.00 gamma=60.00
Positions (direct):
Mn 0.000 0.000 0.000
Fe 0.250 0.250 0.250
Fe 0.750 0.750 0.750
H 0.500 0.500 0.500

The following is a GGA-PBE calculation of a relaxed BePAu crystal, from Alexandria.

## Properties
E_tot, eV for the cell shown: -25.01
Calculated volume, Å³/atom: 16.948

Unit cell a=3.770 b=4.402 c=6.543 alpha=89.86 beta=82.54 gamma=71.00
Positions (direct):
Be 0.000 0.000 0.000
Be 0.477 0.927 0.206
P 0.586 0.844 0.876
P 0.887 0.084 0.347
Au 0.231 0.516 0.368
Au 0.716 0.321 0.723

The following is a GGA-PBE calculation of a relaxed Ba6Hg2N crystal, from Alexandria.

## Properties
Offset from the most stable computed form, kJ/mol of formula units: 0
Raw formation energy, eV/atom: -0.363
Calculated volume, Å³/atom: 42.678

Unit cell a=7.944 b=8.590 c=13.627 alpha=90.00 beta=124.29 gamma=90.00
Positions (direct):
Ba 0.133 0.021 0.234
Ba 0.133 0.479 0.734
Ba 0.213 0.715 0.048
Ba 0.213 0.785 0.548
Ba 0.342 0.172 0.051
Ba 0.342 0.328 0.551
Ba 0.658 0.672 0.449
Ba 0.658 0.828 0.949
Ba 0.787 0.215 0.452
Ba 0.787 0.285 0.952
Ba 0.867 0.521 0.266
Ba 0.867 0.979 0.766
Hg 0.281 0.089 0.747
Hg 0.281 0.411 0.247
Hg 0.719 0.589 0.753
Hg 0.719 0.911 0.253
N 0.000 0.000 0.000
N 0.000 0.500 0.500